HoVIO4 PBE with a Hubbard U relaxed; calculated total energy = -97.56 eV/cell
1.0
6.043 -3.152 0.000
6.043 3.152 0.000
-1.501 0.000 6.592
Ho V I O
2 2 2 8
Direct
0.203 0.203 0.339
0.797 0.797 0.661
0.131 0.131 0.757
0.869 0.869 0.243
0.460 0.460 0.799
0.540 0.540 0.201
0.013 0.013 0.276
0.037 0.607 0.378
0.193 0.193 0.010
0.393 0.963 0.622
0.607 0.037 0.378
0.807 0.807 0.990
0.963 0.393 0.622
0.987 0.987 0.724